1.
{
  "formula": "LaPbCl",
  "functional": "PBE",
  "state": "relaxed",
  "cell": [[-0.3941, -3.0335, 2.5548], [3.5359, 0.7418, -1.6825], [1.8579, 4.8464, 6.0411]],
  "species": ["Pb", "La", "Cl"],
  "fractional_positions": [[0.3333, 0.6667, 0.6189], [0.6667, 0.3333, 0.3045], [0.0000, 0.0000, 0.0766]],
  "dos_ef_per_ev_fu": 1.874,
  "polymorph_energy_mev_per_atom": 244.9,
  "dft_energy_ev_per_cell": -13.3,
  "raw_formation_energy_ev_per_atom": -0.945,
  "spacegroup": "P3m1 (156)"
}

=====

2.
{
  "formula": "RbTe2MoAu",
  "functional": "PBE",
  "state": "relaxed",
  "cell": [[-0.9362, 0.2329, 6.1825], [-1.5356, -5.3374, -0.0315], [5.9400, -1.7146, 0.9640]],
  "species": ["Te", "Te", "Mo", "Au", "Rb"],
  "fractional_positions": [[0.5000, 0.0000, 0.0000], [0.0000, 0.0000, 0.5000], [0.5000, 0.5000, 0.5000], [0.0000, 0.5000, 0.0000], [0.0000, 0.0000, 0.0000]],
  "dos_ef_per_ev_fu": 4.619,
  "dft_energy_ev_per_cell": -12.7,
  "raw_formation_energy_ev_per_atom": 1.722,
  "spacegroup": "P4/mmm (123)"
}

=====

3.
{
  "formula": "PaSBr",
  "functional": "PBE",
  "state": "relaxed",
  "cell": [[-2.3568, -2.5507, -0.1285], [3.1847, -2.8686, -1.4676], [2.4128, -2.6948, 10.5032]],
  "species": ["S", "S", "Pa", "Pa", "Br", "Br"],
  "fractional_positions": [[0.9989, 0.7500, 0.4098], [0.0011, 0.2500, 0.5902], [0.5016, 0.7500, 0.6253], [0.4984, 0.2500, 0.3747], [0.0044, 0.7500, 0.8354], [0.9956, 0.2500, 0.1646]],
  "dos_ef_per_ev_fu": 3.575,
  "polymorph_energy_mev_per_atom": 61.3,
  "dft_energy_ev_per_cell": -39.1,
  "raw_formation_energy_ev_per_atom": -1.425,
  "spacegroup": "P2_1/m (11)"
}

=====

4.
{
  "formula": "LaInO2F",
  "functional": "PBE",
  "state": "relaxed",
  "cell": [[4.5803, 0.0000, 0.0000], [0.0000, 4.5803, 0.0000], [0.0000, 0.0000, 4.7709]],
  "species": ["La", "F", "O", "O", "In"],
  "fractional_positions": [[0.0000, 0.0000, 0.0000], [0.0000, 0.0000, 0.5000], [0.0000, 0.5000, 0.0000], [0.5000, 0.0000, 0.0000], [0.5000, 0.5000, 0.5000]],
  "dos_ef_per_ev_fu": 3.143,
  "dft_energy_ev_per_cell": -30.0,
  "raw_formation_energy_ev_per_atom": -2.101,
  "spacegroup": "P4/mmm (123)"
}